(1)
VASP calculation (PBE) on a geometry-optimized Sr2ScRh structure.

Magnetization ... 0.00 μB/cell
Space group ... No. 6
Polymorph energy (0 for the lowest one) ... 0 meV per atom
Crystal system ... monoclinic
Energy of formation ... -0.265 eV per atom

Geometry as CIF:
```
data_Sr2ScRh
_symmetry_space_group_name_H-M 'P 1'
_symmetry_Int_Tables_number 1
_cell_length_a 3.6968
_cell_length_b 3.8842
_cell_length_c 9.2931
_cell_angle_alpha 77.87
_cell_angle_beta 90.00
_cell_angle_gamma 90.00
loop_
_symmetry_equiv_pos_as_xyz
'x,y,z'
loop_
_atom_site_label
_atom_site_type_symbol
_atom_site_fract_x
_atom_site_fract_y
_atom_site_fract_z
Sc1 Sc 0.5000 0.7385 0.6487
Sr1 Sr 0.0000 0.0942 0.9358
Sr2 Sr 0.5000 0.4035 0.3165
Rh1 Rh 0.0000 0.2638 0.5990
```

(2)
VASP calculation (PBE) on a geometry-optimized Nd2Ga3CuAu4 structure.

Magnetization ... 0.00 μB/cell
Space group ... No. 115
Crystal system ... tetragonal
Energy of formation ... -0.571 eV per atom

Geometry as CIF:
```
data_Nd2Ga3CuAu4
_symmetry_space_group_name_H-M 'P 1'
_symmetry_Int_Tables_number 1
_cell_length_a 4.4655
_cell_length_b 4.4655
_cell_length_c 10.3443
_cell_angle_alpha 90.00
_cell_angle_beta 90.00
_cell_angle_gamma 90.00
loop_
_symmetry_equiv_pos_as_xyz
'x,y,z'
loop_
_atom_site_label
_atom_site_type_symbol
_atom_site_fract_x
_atom_site_fract_y
_atom_site_fract_z
Au1 Au 0.5000 0.0000 0.6262
Ga1 Ga 0.0000 0.0000 0.5000
Nd1 Nd 0.0000 0.5000 0.7421
Au2 Au 0.0000 0.0000 0.0000
Nd2 Nd 0.5000 0.0000 0.2579
Au3 Au 0.0000 0.5000 0.3738
Ga2 Ga 0.5000 0.0000 0.8674
Cu1 Cu 0.5000 0.5000 0.5000
Ga3 Ga 0.0000 0.5000 0.1326
Au4 Au 0.5000 0.5000 0.0000
```

(3)
VASP calculation (PBE) on a geometry-optimized Er3NiB7 structure.

Magnetization ... 0.00 μB/cell
Space group ... No. 63
Crystal system ... orthorhombic
Energy of formation ... -0.554 eV per atom

Geometry as CIF:
```
data_Er3NiB7
_symmetry_space_group_name_H-M 'P 1'
_symmetry_Int_Tables_number 1
_cell_length_a 3.3996
_cell_length_b 7.9821
_cell_length_c 9.2965
_cell_angle_alpha 90.00
_cell_angle_beta 90.00
_cell_angle_gamma 102.30
loop_
_symmetry_equiv_pos_as_xyz
'x,y,z'
loop_
_atom_site_label
_atom_site_type_symbol
_atom_site_fract_x
_atom_site_fract_y
_atom_site_fract_z
Er1 Er 0.1059 0.2118 0.0610
B1 B 0.4795 0.9590 0.0929
B2 B 0.5205 0.0410 0.5929
Er2 Er 0.1059 0.2118 0.4390
B3 B 0.3698 0.7395 0.1512
B4 B 0.7273 0.4546 0.5325
B5 B 0.6302 0.2605 0.6512
B6 B 0.5205 0.0410 0.9071
B7 B 0.7273 0.4546 0.9675
B8 B 0.5396 0.0793 0.2500
B9 B 0.4604 0.9207 0.7500
B10 B 0.2727 0.5454 0.0325
Er3 Er 0.8941 0.7882 0.9390
Er4 Er 0.8941 0.7882 0.5610
Ni1 Ni 0.9455 0.8909 0.2500
Er5 Er 0.7563 0.5127 0.2500
B11 B 0.2727 0.5454 0.4675
Ni2 Ni 0.0545 0.1091 0.7500
B12 B 0.3698 0.7395 0.3488
Er6 Er 0.2437 0.4873 0.7500
B13 B 0.4795 0.9590 0.4071
B14 B 0.6302 0.2605 0.8488
```

(4)
VASP calculation (PBE) on a geometry-optimized Sr2PN2 structure.

Magnetization ... 0.42 μB/cell
Space group ... No. 12
ΔE_f (raw) ... -0.66 eV/atom
Crystal system ... monoclinic

Geometry as CIF:
```
data_Sr2PN2
_symmetry_space_group_name_H-M 'P 1'
_symmetry_Int_Tables_number 1
_cell_length_a 4.3704
_cell_length_b 4.4977
_cell_length_c 7.0890
_cell_angle_alpha 72.99
_cell_angle_beta 72.05
_cell_angle_gamma 60.93
loop_
_symmetry_equiv_pos_as_xyz
'x,y,z'
loop_
_atom_site_label
_atom_site_type_symbol
_atom_site_fract_x
_atom_site_fract_y
_atom_site_fract_z
P1 P 0.0000 0.0000 0.0000
N1 N 0.4458 0.6478 0.4607
Sr1 Sr 0.2495 0.2666 0.2344
Sr2 Sr 0.7505 0.7334 0.7656
N2 N 0.5542 0.3522 0.5393
```

(5)
VASP calculation (PBE) on a geometry-optimized ErScBr6 structure.

Magnetization ... 0.00 μB/cell
Space group ... No. 148
Polymorph energy (0 for the lowest one) ... 27 meV per atom
ΔE_f (raw) ... -1.71 eV/atom
Crystal system ... trigonal

Geometry as CIF:
```
data_ErScBr6
_symmetry_space_group_name_H-M 'P 1'
_symmetry_Int_Tables_number 1
_cell_length_a 6.8939
_cell_length_b 6.8939
_cell_length_c 7.3716
_cell_angle_alpha 62.12
_cell_angle_beta 62.12
_cell_angle_gamma 60.00
loop_
_symmetry_equiv_pos_as_xyz
'x,y,z'
loop_
_atom_site_label
_atom_site_type_symbol
_atom_site_fract_x
_atom_site_fract_y
_atom_site_fract_z
Br1 Br 0.9089 0.6038 0.2448
Br2 Br 0.7575 0.0911 0.7552
Br3 Br 0.2425 0.9089 0.2448
Br4 Br 0.3961 0.7575 0.7552
Er1 Er 0.5000 0.5000 0.5000
Br5 Br 0.0911 0.3962 0.7552
Br6 Br 0.6039 0.2425 0.2448
Sc1 Sc 0.0000 0.0000 0.0000
```

(6)
VASP calculation (PBE) on a geometry-optimized ZnAs2Rh structure.

Magnetization ... 0.00 μB/cell
Space group ... No. 47
Crystal system ... orthorhombic
Energy of formation ... -0.035 eV per atom

Geometry as CIF:
```
data_ZnAs2Rh
_symmetry_space_group_name_H-M 'P 1'
_symmetry_Int_Tables_number 1
_cell_length_a 3.3909
_cell_length_b 3.3462
_cell_length_c 6.6992
_cell_angle_alpha 60.04
_cell_angle_beta 90.00
_cell_angle_gamma 90.00
loop_
_symmetry_equiv_pos_as_xyz
'x,y,z'
loop_
_atom_site_label
_atom_site_type_symbol
_atom_site_fract_x
_atom_site_fract_y
_atom_site_fract_z
As1 As 0.0000 0.5190 0.4814
Zn1 Zn 0.5000 0.7500 0.7500
Rh1 Rh 0.5000 0.2500 0.2500
As2 As 0.0000 0.9810 0.0186
```

(7)
VASP calculation (PBE) on a geometry-optimized Tb5Pr2HoEr structure.

Magnetization ... 0.00 μB/cell
Space group ... No. 140
Crystal system ... tetragonal
Energy of formation ... 0.273 eV per atom

Geometry as CIF:
```
data_Tb5Pr2HoEr
_symmetry_space_group_name_H-M 'P 1'
_symmetry_Int_Tables_number 1
_cell_length_a 8.5929
_cell_length_b 8.5929
_cell_length_c 10.0601
_cell_angle_alpha 115.28
_cell_angle_beta 115.28
_cell_angle_gamma 90.00
loop_
_symmetry_equiv_pos_as_xyz
'x,y,z'
loop_
_atom_site_label
_atom_site_type_symbol
_atom_site_fract_x
_atom_site_fract_y
_atom_site_fract_z
Tb1 Tb 0.0000 0.0000 0.0000
Tb2 Tb 0.5728 0.6426 0.7154
Tb3 Tb 0.4272 0.3574 0.2846
Pr1 Pr 0.6195 0.1195 0.0000
Tb4 Tb 0.1426 0.0728 0.7154
Tb5 Tb 0.9272 0.4272 0.2846
Tb6 Tb 0.6426 0.1426 0.7154
Tb7 Tb 0.8574 0.9272 0.2846
Ho1 Ho 0.2500 0.2500 0.5000
Pr2 Pr 0.8805 0.6195 0.0000
Er1 Er 0.2500 0.7500 0.5000
Ho2 Ho 0.7500 0.7500 0.5000
Tb8 Tb 0.5000 0.5000 0.0000
Tb9 Tb 0.3574 0.8574 0.2846
Er2 Er 0.7500 0.2500 0.5000
Pr3 Pr 0.3805 0.8805 0.0000
Tb10 Tb 0.0728 0.5728 0.7154
Pr4 Pr 0.1195 0.3805 0.0000
```

(8)
VASP calculation (PBE) on a geometry-optimized SrBr structure.

Magnetization ... 0.57 μB/cell
Space group ... No. 194
ΔE_f (raw) ... -1.38 eV/atom
Crystal system ... hexagonal

Geometry as CIF:
```
data_SrBr
_symmetry_space_group_name_H-M 'P 1'
_symmetry_Int_Tables_number 1
_cell_length_a 4.5361
_cell_length_b 4.5361
_cell_length_c 7.5805
_cell_angle_alpha 90.00
_cell_angle_beta 90.00
_cell_angle_gamma 120.00
loop_
_symmetry_equiv_pos_as_xyz
'x,y,z'
loop_
_atom_site_label
_atom_site_type_symbol
_atom_site_fract_x
_atom_site_fract_y
_atom_site_fract_z
Sr1 Sr 0.3333 0.6667 0.2500
Br1 Br 0.0000 0.0000 0.5000
Br2 Br 0.0000 0.0000 0.0000
Sr2 Sr 0.6667 0.3333 0.7500
```

The DFT total energy results, record by record, are as follows: -18.107, -41.535, -72.310, -28.722, -34.632, -18.064, -39.391, -6.122 eV/f.u..